(1)
Density functional theory data (GGA-PBEsol) for a geometry-optimized LiPd7 structure.

For the formation enthalpy at 0 K, the calculation gives -1.30 eV/f.u. Its symmetry is Fm-3m (225).

Geometry as POSCAR:
```
LiPd7
1.0
0.000 3.842 3.842
3.842 0.000 3.842
3.842 3.842 0.000
Li Pd
1 7
direct
0.000 0.000 0.000
0.000 0.000 0.500
0.000 0.500 0.000
0.000 0.500 0.500
0.500 0.000 0.000
0.500 0.000 0.500
0.500 0.500 0.000
0.500 0.500 0.500
```



(2)
Density functional theory data (GGA-PBEsol) for a geometry-optimized SnI2OF structure.

Its symmetry is P4/mmm (123). The value obtained for the formation energy from raw total energies is -0.285 eV per atom.

Geometry as POSCAR:
```
SnI2OF
1.0
5.792 0.000 0.000
0.000 5.792 0.000
0.000 0.000 3.881
Sn I O F
1 2 1 1
direct
0.000 0.000 0.000
0.000 0.500 0.000
0.500 0.000 0.000
0.000 0.000 0.500
0.500 0.500 0.500
```



(3)
Density functional theory data (GGA-PBEsol) for a geometry-optimized TiFe3Se structure.

As for the distance to the lowest polymorph of the same formula: 616.2 meV per atom. Its symmetry is Pm-3m (221). The value obtained for the formation energy from raw total energies is 1.212 eV per atom.

Geometry as POSCAR:
```
TiFe3Se
1.0
4.327 0.000 0.000
0.000 4.327 0.000
0.000 0.000 4.327
Ti Fe Se
1 3 1
direct
0.000 0.000 0.000
0.000 0.000 0.500
0.000 0.500 0.000
0.500 0.000 0.000
0.500 0.500 0.500
```



(4)
Density functional theory data (GGA-PBEsol) for a geometry-optimized MnMoN2F structure.

Its symmetry is P4/mmm (123). The value obtained for the formation energy from raw total energies is 0.249 eV per atom.

Geometry as POSCAR:
```
MnMoN2F
1.0
3.758 0.000 0.000
0.000 3.758 0.000
0.000 0.000 3.575
Mn Mo N F
1 1 2 1
direct
0.000 0.000 0.000
0.500 0.500 0.500
0.000 0.500 0.000
0.500 0.000 0.000
0.000 0.000 0.500
```



(5)
Density functional theory data (GGA-PBEsol) for a geometry-optimized Li3ZnH structure.

For the energy, the calculation gives -2.318 eV/atom. Its symmetry is Pm-3m (221).

Geometry as POSCAR:
```
Li3ZnH
1.0
3.944 0.000 0.000
0.000 3.944 0.000
0.000 0.000 3.944
Li Zn H
3 1 1
direct
0.000 0.000 0.500
0.000 0.500 0.000
0.500 0.000 0.000
0.500 0.500 0.500
0.000 0.000 0.000
```



(6)
Density functional theory data (GGA-PBEsol) for a geometry-optimized KCuRh structure.

For the formation enthalpy at 0 K, the calculation gives 2.20 eV/f.u. Its symmetry is P3m1 (156).

Geometry as POSCAR:
```
KCuRh
1.0
2.795 0.000 0.000
-1.398 2.421 0.000
0.000 0.000 7.526
K Cu Rh
1 1 1
direct
0.000 0.000 0.000
0.333 0.667 0.377
0.667 0.333 0.643
```



no.,spin magnetization (μB per formula unit),DOS(E_F) (states/eV per cell)
1,0.0,12.9
2,1.2,6.2
3,5.6,5.2
4,4.7,3.0
5,0.0,1.7
6,0.1,3.6